Entry 1:
Entry from Alexandria via LeMat-Bulk: a relaxed structure of Zn7Ga2 (PBE).

The value obtained for the total DFT energy (no corrections) is -1.628 eV per atom. The polymorph energy (0 for the lowest one) is 0 meV per atom. The calculation puts the total magnetization at 0.00 μB/f.u.

a b c (Å): 4.8457 4.8457 7.0155
angles (deg): 90.00 90.00 120.00
Space group P-31m (No. 162)
Symmetry-distinct sites (fractional):
1 Zn 0.0000 0.0000 0.0000 (multiplicity 1)
2 Zn 0.0000 0.3301 0.6626 (multiplicity 6)
3 Ga 0.3333 0.6667 0.0000 (multiplicity 2)


Entry 2:
Entry from Alexandria via LeMat-Bulk: a relaxed structure of Tb3SmTe4 (PBE).

The value obtained for the total DFT energy (no corrections) is -5.224 eV per atom. The calculation puts the total magnetization at 0.00 μB/f.u. Its formation energy from raw total energies is -1327 meV/atom.

a b c (Å): 8.889 12.419 4.335
angles (deg): 90.00 90.00 90.00
Space group Cmmm (No. 65)
Symmetry-distinct sites (fractional):
1 Tb 0.000 0.000 0.000 (multiplicity 2)
2 Tb 0.250 0.250 0.500 (multiplicity 4)
3 Sm 0.000 0.500 0.000 (multiplicity 2)
4 Te 0.000 0.248 0.000 (multiplicity 4)
5 Te 0.246 0.000 0.500 (multiplicity 4)


Entry 3:
Entry from Alexandria via LeMat-Bulk: a relaxed structure of PSeN2F (PBE).

The value obtained for the total DFT energy (no corrections) is -3.189 eV per atom. The polymorph energy (0 for the lowest one) is 1732 meV per atom. The calculation puts the total magnetization at 2.71 μB/f.u. Its formation energy from raw total energies is 2294 meV/atom.

a b c (Å): 3.951 3.951 4.549
angles (deg): 90.00 90.00 90.00
Space group P4/mmm (No. 123)
Symmetry-distinct sites (fractional):
1 P 0.000 0.000 0.000 (multiplicity 1)
2 Se 0.500 0.500 0.000 (multiplicity 1)
3 N 0.000 0.500 0.500 (multiplicity 2)
4 F 0.500 0.500 0.500 (multiplicity 1)


Entry 4:
Entry from Alexandria via LeMat-Bulk: a relaxed structure of NaNd2Er (PBE).

The value obtained for the total DFT energy (no corrections) is -3.756 eV per atom. The polymorph energy (0 for the lowest one) is 0 meV per atom. The calculation puts the total magnetization at 0.00 μB/f.u.

a b c (Å): 3.538 3.538 10.959
angles (deg): 90.00 90.00 90.00
Space group P4/mmm (No. 123)
Symmetry-distinct sites (fractional):
1 Na 0.000 0.000 0.000 (multiplicity 1)
2 Nd 0.500 0.500 0.268 (multiplicity 2)
3 Er 0.000 0.000 0.500 (multiplicity 1)